Record 1
DFT (PBE-GGA) results for NbTl3Cr after structural relaxation.

Properties
Relative energy among the computed polymorphs, eV/atom: 0.000
DFT formation energy, meV/atom: 1226
V, Å³/cell: 138

Lattice parameters (Å, degrees): 5.1636 5.1636 5.1636 90.00 90.00 90.00
Last column: nearest neighbours and their distance in Å.
Atoms (fractional coordinates):
Tl 0.0000 0.5000 0.0000  2 Cr 2.58
Tl 0.0000 0.0000 0.5000  2 Cr 2.58
Tl 0.5000 0.0000 0.0000  2 Cr 2.58
Cr 0.0000 0.0000 0.0000  6 Tl 2.58
Nb 0.5000 0.5000 0.5000  12 Tl 3.65



Record 2
DFT (PBE-GGA) results for PmErRuRh after structural relaxation.

Properties
Relative energy among the computed polymorphs, eV/atom: 0.000
DFT formation energy, meV/atom: -555
V, Å³/cell: 81

Lattice parameters (Å, degrees): 3.4413 3.4413 6.8741 90.00 90.00 90.00
Last column: nearest neighbours and their distance in Å.
Atoms (fractional coordinates):
Rh 0.0000 0.0000 0.3673  4 Er 2.95, 4 Pm 3.04
Er 0.5000 0.5000 0.6101  4 Ru 2.93, 4 Rh 2.95
Pm 0.5000 0.5000 0.1025  4 Ru 3.00, 4 Rh 3.04
Ru 0.0000 0.0000 0.8482  4 Er 2.93, 4 Pm 3.00



Record 3
DFT (PBE-GGA) results for Tb3DyHo4 after structural relaxation.

Properties
Relative energy among the computed polymorphs, eV/atom: 0.000
DFT formation energy, meV/atom: 7
V, Å³/cell: 507

Lattice parameters (Å, degrees): 6.2547 7.2327 11.2011 90.00 90.00 90.00
Last column: nearest neighbours and their distance in Å.
Atoms (fractional coordinates):
Ho 0.6480 0.1241 0.0000  6 Ho 3.49-3.61, 4 Tb 3.49-3.63, 2 Dy 3.61
Ho 0.6482 0.1241 0.5000  6 Ho 3.49-3.61, 4 Tb 3.49-3.62, 2 Dy 3.60-3.63
Ho 0.1480 0.8759 0.5000  6 Ho 3.49-3.61, 4 Tb 3.49-3.63, 2 Dy 3.61
Tb 0.9811 0.6257 0.2499  4 Tb 3.49-3.62, 2 Dy 3.49-3.50, 6 Ho 3.49-3.63
Ho 0.9808 0.1242 0.2498  6 Ho 3.49-3.61, 1 Dy 3.49, 5 Tb 3.49-3.63
Tb 0.6477 0.6258 0.0000  4 Tb 3.49-3.50, 6 Ho 3.49-3.63, 2 Dy 3.62
Tb 0.4811 0.3743 0.2501  4 Tb 3.49-3.62, 2 Dy 3.49-3.50, 6 Ho 3.49-3.63
Dy 0.1477 0.3740 0.0000  6 Ho 3.49-3.63, 6 Tb 3.49-3.62
Tb 0.1477 0.3742 0.5000  4 Tb 3.49-3.50, 6 Ho 3.49-3.63, 2 Dy 3.62
Tb 0.9811 0.6257 0.7501  4 Tb 3.49-3.62, 2 Dy 3.49-3.50, 6 Ho 3.49-3.63
Tb 0.4811 0.3743 0.7499  4 Tb 3.49-3.62, 2 Dy 3.49-3.50, 6 Ho 3.49-3.63
Ho 0.9808 0.1242 0.7502  6 Ho 3.49-3.61, 1 Dy 3.49, 5 Tb 3.49-3.63
Ho 0.4808 0.8758 0.2502  6 Ho 3.49-3.61, 1 Dy 3.49, 5 Tb 3.49-3.63
Ho 0.4808 0.8758 0.7498  6 Ho 3.49-3.61, 1 Dy 3.49, 5 Tb 3.49-3.63
Ho 0.1482 0.8759 0.0000  6 Ho 3.49-3.61, 4 Tb 3.49-3.62, 2 Dy 3.60-3.63
Dy 0.6477 0.6260 0.5000  6 Ho 3.49-3.63, 6 Tb 3.49-3.62



Record 4
DFT (PBE-GGA) results for Sm8GaSe4S3 after structural relaxation.

Properties
Uncorrected formation energy, eV/atom: -1.76
V, Å³/cell: 399

Lattice parameters (Å, degrees): 8.2097 8.3120 8.2098 119.59 120.00 90.00
Last column: nearest neighbours and their distance in Å.
Atoms (fractional coordinates):
Se 0.0000 0.0000 0.5000  6 Sm 2.98-3.01
Se 0.5000 0.0000 0.0000  6 Sm 2.97
Sm 0.7439 0.7352 0.9896  2 S 2.86, 1 Ga 2.87, 3 Se 2.97-2.98
Ga 0.0000 0.5000 0.0000  6 Sm 2.87
Sm 0.7544 0.2648 0.0104  2 S 2.86, 1 Ga 2.87, 3 Se 2.97-2.98
Se 0.5000 0.0000 0.5000  6 Sm 2.98-3.01
Sm 0.2569 0.2707 0.5138  3 S 2.84, 3 Se 3.01
S 0.5000 0.5000 0.0000  6 Sm 2.84-2.86
Sm 0.2456 0.7352 0.4912  2 S 2.86, 1 Ga 2.87, 3 Se 2.97-2.98
Sm 0.7544 0.2648 0.5088  2 S 2.86, 1 Ga 2.87, 3 Se 2.97-2.98
S 0.0000 0.5000 0.5000  6 Sm 2.84-2.86
Sm 0.2456 0.7352 0.9896  2 S 2.86, 1 Ga 2.87, 3 Se 2.97-2.98
Sm 0.7431 0.7293 0.4862  3 S 2.84, 3 Se 3.01
Se 0.0000 0.0000 0.0000  6 Sm 2.98-3.01
Sm 0.2561 0.2648 0.0104  2 S 2.86, 1 Ga 2.87, 3 Se 2.97-2.98
S 0.5000 0.5000 0.5000  6 Sm 2.84-2.86



| no. | E_tot (eV/atom) | magnetic moment (μB per cell) |
| --- | --- | --- |
| 1 | -4.132 | 6.13 |
| 2 | -7.040 | 0.00 |
| 3 | -4.594 | 0.00 |
| 4 | -5.956 | 0.00 |